[1]
Density functional theory data (GGA-PBE) for a relaxed La2PmTl crystal.

a = 6.5460 Å, b = 3.7745 Å, c = 11.4659 Å
α = 90.00°, β = 101.09°, γ = 90.00°
Closest atoms and distances in Å follow each position.
Space group Cm (No. 8)
Asymmetric unit:
La 0.0000 0.0000 0.0000 (multiplicity 2)  3 Tl 3.43, 3 Pm 3.68-3.69, 6 La 3.77-3.78
La 0.1759 0.0000 0.5282 (multiplicity 2)  3 Tl 3.43-3.44, 3 Pm 3.68, 6 La 3.77-3.78
Pm 0.4207 0.0000 0.2646 (multiplicity 2)  6 La 3.68-3.69, 6 Pm 3.77-3.78
Tl 0.0876 0.5000 0.7643 (multiplicity 2)  6 La 3.43-3.44, 6 Tl 3.77-3.78

Properties
D(E_F) in states/eV per atom: 1.568
Energy above the most stable polymorph in this dataset in meV per atom: 125
ΔH_f (0 K) in eV/atom: -0.102
Uncorrected energy in eV/atom: -4.344

[2]
Density functional theory data (GGA-PBE) for a relaxed TlPd5Pt crystal.

a = 4.0497 Å, b = 4.0497 Å, c = 7.5443 Å
α = 90.00°, β = 90.00°, γ = 90.00°
Closest atoms and distances in Å follow each position.
Space group P4/mmm (No. 123)
Asymmetric unit:
Tl 0.0000 0.0000 0.0000 (multiplicity 1)  12 Pd 2.86-2.89
Pd 0.0000 0.5000 0.2742 (multiplicity 4)  2 Pt 2.65, 6 Pd 2.86-2.89, 2 Tl 2.89
Pd 0.5000 0.5000 0.0000 (multiplicity 1)  4 Tl 2.86, 8 Pd 2.89
Pt 0.0000 0.0000 0.5000 (multiplicity 1)  8 Pd 2.65

Properties
D(E_F) in states/eV per atom: 1.287
Energy above the most stable polymorph in this dataset in meV per atom: 0
ΔH_f (0 K) in eV/atom: 0.063
Uncorrected energy in eV/atom: -4.847

| no. | density (g/cm³) | total magnetization (μB/cell) |
| --- | --- | --- |
| 1 | 7.492 | 0.000 |
| 2 | 12.503 | 0.000 |